# 1
This record from Alexandria via LeMat-Bulk describes a relaxed structure of RuS2NCl. The functional is PBE.

Cell: 4.5063 4.5063 5.0171 Å, 90.00 90.00 90.00°
Site moments in Bohr magnetons follow the coordinates.
Atoms (fractional coordinates):
Ru  0.0000  0.0000  0.0000  0.01
S  0.0000  0.5000  0.0000  -0.08
S  0.5000  0.0000  0.0000  -0.08
N  0.5000  0.5000  0.5000  0.88
Cl  0.0000  0.0000  0.5000  0.07

Relative energy among the computed polymorphs (eV/f.u.): 3.37
Density of states at the Fermi level (states/eV per atom): 0.90
Density (g cm⁻³): 3.5
Energy relative to the elements, uncorrected (kJ per mole of atoms): 132.7


# 2
This record from Alexandria via LeMat-Bulk describes a relaxed structure of RuSe2NCl. The functional is PBE.

Cell: 4.9785 4.9785 3.2997 Å, 90.00 90.00 90.00°
Atoms (fractional coordinates):
Ru  0.5000  0.5000  0.5000
N  0.0000  0.0000  0.5000
Se  0.0000  0.5000  0.0000
Se  0.5000  0.0000  0.0000
Cl  0.0000  0.0000  0.0000

Relative energy among the computed polymorphs (eV/f.u.): 6.19
Density of states at the Fermi level (states/eV per atom): 1.01
Density (g cm⁻³): 6.3
Energy relative to the elements, uncorrected (kJ per mole of atoms): 172.3


# 3
This record from Alexandria via LeMat-Bulk describes a relaxed structure of RuSe2NCl. The functional is PBE.

Cell: 5.1260 5.1260 3.6554 Å, 90.00 90.00 90.00°
Atoms (fractional coordinates):
Ru  0.0000  0.0000  0.0000
N  0.0000  0.0000  0.5000
Se  0.0000  0.5000  0.0000
Se  0.5000  0.0000  0.0000
Cl  0.5000  0.5000  0.5000

Relative energy among the computed polymorphs (eV/f.u.): 0.00
Density of states at the Fermi level (states/eV per atom): 1.24
Density (g cm⁻³): 5.3
Energy relative to the elements, uncorrected (kJ per mole of atoms): 52.9


# 4
This record from Alexandria via LeMat-Bulk describes a relaxed structure of Sm6Ru2NCl3. The functional is PBE.

Cell: 6.8054 6.8054 7.7014 Å, 98.22 98.22 120.10°
Atoms (fractional coordinates):
Sm  0.9391  0.6311  0.8059
Sm  0.7438  0.7438  0.1937
Sm  0.0609  0.3689  0.1941
Sm  0.6311  0.9391  0.8059
Sm  0.2562  0.2562  0.8063
Sm  0.3689  0.0609  0.1941
Ru  0.3303  0.6697  0.0000
Ru  0.6697  0.3303  0.0000
N  0.0000  0.0000  0.0000
Cl  0.1584  0.8416  0.5000
Cl  0.8416  0.1584  0.5000
Cl  0.5000  0.5000  0.5000

Density of states at the Fermi level (states/eV per atom): 0.73
Density (g cm⁻³): 6.9
Energy relative to the elements, uncorrected (kJ per mole of atoms): -103.2


# 5
This record from Alexandria via LeMat-Bulk describes a relaxed structure of Sr2RuNCl. The functional is PBE.

Cell: 5.4672 5.4672 3.7910 Å, 90.00 90.00 90.00°
Atoms (fractional coordinates):
Ru  0.0000  0.0000  0.5000
N  0.0000  0.0000  0.0000
Cl  0.5000  0.5000  0.5000
Sr  0.0000  0.5000  0.0000
Sr  0.5000  0.0000  0.0000

Density of states at the Fermi level (states/eV per atom): 0.36
Density (g cm⁻³): 4.8
Energy relative to the elements, uncorrected (kJ per mole of atoms): -89.5


# 6
This record from Alexandria via LeMat-Bulk describes a relaxed structure of TcRuNCl2. The functional is PBE.

Cell: 4.5002 5.3222 4.5002 Å, 90.00 90.00 90.00°
Site moments in Bohr magnetons follow the coordinates.
Atoms (fractional coordinates):
Ru  0.0000  0.0000  0.0000  -0.56
N  0.5000  0.5000  0.5000  0.19
Tc  0.0000  0.5000  0.0000  3.45
Cl  0.0000  0.0000  0.5000  -0.01
Cl  0.5000  0.0000  0.0000  -0.14

Density of states at the Fermi level (states/eV per atom): 1.03
Density (g cm⁻³): 4.4
Energy relative to the elements, uncorrected (kJ per mole of atoms): 172.1


> Number 3 is which compound?

RuSe2NCl


> Look up the density of the fourth one.

6.9 g cm⁻³


> What is the formula in the third record?

RuSe2NCl


> The lowest energy relative to the elements, uncorrected belongs to which entry?

Sm6Ru2NCl3